Record 1
A plane-wave DFT calculation with PBE was carried out for crystalline Zn3Cu4 at its relaxed geometry.

It has space group Immm (No. 71), with a = 2.7442 Å, b = 3.3927 Å, c = 19.3831 Å, α = 90.00°, β = 90.00° and γ = 90.00°. The inequivalent atoms are Zn at (0.0000, 0.0000, 0.0000), Zn at (0.0000, 0.0000, 0.1454), Cu at (0.0000, 0.0000, 0.2846) and Cu at (0.0000, 0.0000, 0.4278).

As for the total energy: -2.966 eV/atom. Its calculated density is 8.289 g/cm3. Its formation energy is -0.08 eV/atom.

---

Record 2
A plane-wave DFT calculation with PBE was carried out for crystalline ZnCu3 at its relaxed geometry.

It has space group Pm-3n (No. 223), with a = 4.6713 Å, b = 4.6713 Å, c = 4.6713 Å, α = 90.00°, β = 90.00° and γ = 90.00°. The inequivalent atoms are Zn at (0.0000, 0.0000, 0.0000) and Cu at (0.0000, 0.2500, 0.5000).

As for the total energy: -3.351 eV/atom. Its calculated density is 8.342 g/cm3. Its formation energy is 0.04 eV/atom.

---

Record 3
A plane-wave DFT calculation with PBE was carried out for crystalline Zn3Cu4 at its relaxed geometry.

It has space group I4/mmm (No. 139), with a = 3.0265 Å, b = 3.0265 Å, c = 19.8224 Å, α = 90.00°, β = 90.00° and γ = 90.00°. The inequivalent atoms are Zn at (0.0000, 0.0000, 0.0000), Zn at (0.0000, 0.0000, 0.2910), Cu at (0.0000, 0.0000, 0.1391) and Cu at (0.0000, 0.0000, 0.4296).

As for the total energy: -2.940 eV/atom. Its calculated density is 8.239 g/cm3. Its formation energy is -0.05 eV/atom.

---

Record 4
A plane-wave DFT calculation with PBE was carried out for crystalline ZnCu2 at its relaxed geometry.

It has space group P-6m2 (No. 187), with a = 2.6016 Å, b = 2.6016 Å, c = 6.6906 Å, α = 90.00°, β = 90.00° and γ = 120.00°. The inequivalent atoms are Zn at (0.0000, 0.0000, 0.0000) and Cu at (0.6667, 0.3333, 0.3212).

As for the total energy: -3.068 eV/atom. Its calculated density is 8.152 g/cm3. Its formation energy is 0.09 eV/atom.

---

Record 5
A plane-wave DFT calculation with PBE was carried out for crystalline ZnCu2 at its relaxed geometry.

It has space group Cmcm (No. 63), with a = 2.6605 Å, b = 13.3759 Å, c = 4.2838 Å, α = 90.00°, β = 90.00° and γ = 90.00°. The inequivalent atoms are Zn at (0.0000, 0.2202, 0.2500), Cu at (0.0000, 0.1078, 0.7500) and Cu at (0.0000, 0.4453, 0.7500).

As for the total energy: -3.197 eV/atom. Its calculated density is 8.387 g/cm3. Its formation energy is -0.04 eV/atom.

---

Record 6
A plane-wave DFT calculation with PBE was carried out for crystalline ZnCu5 at its relaxed geometry.

It has space group Amm2 (No. 38), with a = 4.2472 Å, b = 2.5743 Å, c = 13.4636 Å, α = 90.00°, β = 90.00° and γ = 90.00°. The inequivalent atoms are Zn at (0.0000, 0.0000, 0.0000), Cu at (0.0000, 0.0000, 0.3319), Cu at (0.0000, 0.0000, 0.6684), Cu at (0.5000, 0.0000, 0.2225), Cu at (0.5000, 0.0000, 0.5571) and Cu at (0.5000, 0.0000, 0.8879).

As for the total energy: -3.654 eV/atom. Its calculated density is 8.644 g/cm3. Its formation energy is -0.03 eV/atom.

---

Record 7
A plane-wave DFT calculation with PBE was carried out for crystalline Zn2Cu at its relaxed geometry.

It has space group P6_3/mmc (No. 194), with a = 4.2975 Å, b = 4.2975 Å, c = 5.1257 Å, α = 90.00°, β = 90.00° and γ = 120.00°. The inequivalent atoms are Zn at (0.0000, 0.0000, 0.0000), Zn at (0.3333, 0.6667, 0.2500) and Cu at (0.3333, 0.6667, 0.7500).

As for the total energy: -2.226 eV/atom. Its calculated density is 7.874 g/cm3. Its formation energy is -0.01 eV/atom.

---

Record 8
A plane-wave DFT calculation with PBE was carried out for crystalline ZnCu3 at its relaxed geometry.

It has space group R-3m (No. 166, hexagonal axes), with a = 2.6182 Å, b = 2.6182 Å, c = 25.2836 Å, α = 90.00°, β = 90.00° and γ = 120.00°. The inequivalent atoms are Zn at (0.0000, 0.0000, 0.0000), Cu at (0.0000, 0.0000, 0.2483) and Cu at (0.0000, 0.0000, 0.5000).

As for the total energy: -3.403 eV/atom. Its calculated density is 8.498 g/cm3. Its formation energy is -0.01 eV/atom.

---

Record 9
A plane-wave DFT calculation with PBE was carried out for crystalline Zn2Cu at its relaxed geometry.

It has space group I4_1/amd (No. 141, origin choice 2), with a = 3.7267 Å, b = 3.7267 Å, c = 23.3808 Å, α = 90.00°, β = 90.00° and γ = 90.00°. The inequivalent atoms are Zn at (0.0000, 0.2500, 0.1247), Zn at (0.0000, 0.2500, 0.2901) and Cu at (0.0000, 0.2500, 0.7918).

As for the total energy: -2.254 eV/atom. Its calculated density is 7.952 g/cm3. Its formation energy is -0.04 eV/atom.

---

Record 10
A plane-wave DFT calculation with PBE was carried out for crystalline ZnCu3 at its relaxed geometry.

It has space group Imm2 (No. 44), with a = 2.6198 Å, b = 8.4957 Å, c = 4.4732 Å, α = 90.00°, β = 90.00° and γ = 90.00°. The inequivalent atoms are Zn at (0.0000, 0.0000, 0.0000), Cu at (0.0000, 0.2490, 0.3383) and Cu at (0.0000, 0.5000, 0.0018).

As for the total energy: -3.447 eV/atom. Its calculated density is 8.541 g/cm3. Its formation energy is -0.06 eV/atom.

---

Record 11
A plane-wave DFT calculation with PBE was carried out for crystalline Zn7Cu at its relaxed geometry.

It has space group P-6m2 (No. 187), with a = 5.3809 Å, b = 5.3809 Å, c = 4.6007 Å, α = 90.00°, β = 90.00° and γ = 120.00°. The inequivalent atoms are Zn at (0.0000, 0.0000, 0.0000), Zn at (0.1669, 0.3339, 0.5000), Zn at (0.5021, 0.0041, 0.0000) and Cu at (0.6667, 0.3333, 0.5000).

As for the total energy: -1.667 eV/atom. Its calculated density is 7.505 g/cm3. Its formation energy is -0.04 eV/atom.

---

Record 12
A plane-wave DFT calculation with PBE was carried out for crystalline ZnCu3 at its relaxed geometry.

It has space group P4/mmm (No. 123), with a = 2.6068 Å, b = 2.6068 Å, c = 7.3435 Å, α = 90.00°, β = 90.00° and γ = 90.00°. The inequivalent atoms are Zn at (0.0000, 0.0000, 0.0000), Cu at (0.0000, 0.0000, 0.5000) and Cu at (0.5000, 0.5000, 0.2559).

As for the total energy: -3.427 eV/atom. Its calculated density is 8.520 g/cm3. Its formation energy is -0.04 eV/atom.